A plane-wave DFT calculation with PBE was carried out for a geometry-optimized TlTcF6 structure.

Values from the calculation:
Density, g cm⁻³: 4.61
Formation energy (no corrections), eV per atom: -2.0716
Total magnetic moment, μB/f.u.: 2.0
Space-group type: P-1, No. 2

Cell: 5.658 5.671 6.318 Å, 63.35 63.20 59.83°
Last column: magnetic moment on the atom in μB.
Fractional positions:
Tl1 0.500 0.500 0.500  -0.01
Tc1 0.000 0.000 0.000  1.60
F1 0.010 0.367 0.795  0.05
F2 0.828 0.010 0.795  0.05
F3 0.631 0.173 0.205  0.05
F4 0.172 0.990 0.205  0.05
F5 0.990 0.633 0.205  0.05
F6 0.369 0.827 0.795  0.05

A plane-wave DFT calculation with PBE was carried out for a geometry-optimized HoCdO structure.

Values from the calculation:
Density, g cm⁻³: 8.05
Formation energy (no corrections), eV per atom: -2.0966
Total magnetic moment, μB/f.u.: 0.0
Excess energy over the best structure of this formula in the dataset, eV per atom: 0.0000
Space-group type: P4/nmm, No. 129

Cell: 3.890 3.890 7.999 Å, 90.00 90.00 90.00°
Fractional positions:
Ho1 0.250 0.750 0.365
Ho2 0.750 0.250 0.635
Cd1 0.250 0.750 0.917
Cd2 0.750 0.250 0.083
O1 0.750 0.750 0.500
O2 0.250 0.250 0.500

A plane-wave DFT calculation with PBE was carried out for a geometry-optimized Mg6Sn5Pb structure.

Values from the calculation:
Density, g cm⁻³: 5.37
Energy relative to the elements, eV per atom: -0.107
Total magnetic moment, μB/f.u.: 0.0
Space-group type: P-1, No. 2

Cell: 4.737 8.429 8.772 Å, 118.65 105.54 90.00°
Fractional positions:
Pb1 0.000 0.000 0.000
Mg1 0.830 0.579 0.662
Mg2 0.830 0.083 0.662
Mg3 0.500 0.745 0.000
Mg4 0.500 0.255 0.000
Mg5 0.170 0.917 0.338
Mg6 0.170 0.421 0.338
Sn1 0.668 0.168 0.336
Sn2 0.333 0.334 0.668
Sn3 0.000 0.500 0.000
Sn4 0.667 0.666 0.332
Sn5 0.332 0.832 0.664

A plane-wave DFT calculation with PBE was carried out for a geometry-optimized HgRuF2 structure.

Values from the calculation:
Density, g cm⁻³: 9.46
Formation energy (no corrections), eV per atom: -0.2754
Total magnetic moment, μB/f.u.: 3.0
Excess energy over the best structure of this formula in the dataset, eV per atom: 0.5451
Space-group type: Fm-3m, No. 225

Cell: 4.385 4.385 4.385 Å, 60.00 60.00 60.00°
Last column: magnetic moment on the atom in μB.
Fractional positions:
Ru1 0.000 0.000 0.000  2.72
Hg1 0.500 0.500 0.500  -0.05
F1 0.250 0.250 0.250  0.08
F2 0.750 0.750 0.750  0.08

A plane-wave DFT calculation with PBE was carried out for a geometry-optimized BSbI2N structure.

Values from the calculation:
Density, g cm⁻³: 4.89
Formation energy (no corrections), eV per atom: 1.6489
Total magnetic moment, μB/f.u.: 2.8
Excess energy over the best structure of this formula in the dataset, eV per atom: 1.5061
Space-group type: P4/mmm, No. 123

Cell: 5.467 4.547 5.467 Å, 90.00 90.00 90.00°
Last column: magnetic moment on the atom in μB.
Fractional positions:
I1 0.000 0.000 0.500  0.07
I2 0.500 0.000 0.000  0.05
Sb1 0.000 0.500 0.000  -0.01
B1 0.000 0.000 0.000  0.00
N1 0.500 0.500 0.500  1.82

A plane-wave DFT calculation with PBE was carried out for a geometry-optimized ZnHg2Sb structure.

Values from the calculation:
Density, g cm⁻³: 10.04
Formation energy (no corrections), eV per atom: 0.1375
Total magnetic moment, μB/f.u.: 0.0
Excess energy over the best structure of this formula in the dataset, eV per atom: 0.0580
Space-group type: Imm2, No. 44

Cell: 6.962 6.962 6.962 Å, 152.52 141.19 48.22°
Fractional positions:
Hg1 0.059 0.059 0.000
Hg2 0.739 0.239 0.500
Sb1 0.443 0.443 0.000
Zn1 0.258 0.758 0.500